A plane-wave DFT calculation with GGA+U was carried out for a geometry-optimized K3BaV4O12 structure.

Properties
Space group = R32
Calculated total energy = -0.2348 Ha/atom

a b c (Å): 7.9992 7.9992 7.9992
angles (deg): 111.55 111.55 111.55
Site moments in Bohr magnetons follow the coordinates.
Atoms (fractional coordinates):
O 0.1012 0.6413 0.8001  0.00
O 0.6296 0.5000 0.3704  -0.07
O 0.1999 0.3587 0.8988  0.00
O 0.3704 0.6296 0.5000  -0.07
O 0.5000 0.3704 0.6296  -0.07
O 0.3587 0.8988 0.1999  0.00
O 0.8988 0.1999 0.3587  0.00
O 0.9542 0.5000 0.0458  0.00
O 0.0458 0.9542 0.5000  0.00
O 0.8001 0.1012 0.6413  0.00
O 0.5000 0.0458 0.9542  0.00
O 0.6413 0.8001 0.1012  0.00
V 0.5000 0.5000 0.5000  0.82
V 0.0808 0.5000 0.9192  0.00
V 0.9192 0.0808 0.5000  0.00
V 0.5000 0.9192 0.0808  0.00
K 0.0000 0.5722 0.4278  0.00
K 0.5722 0.4278 0.0000  0.00
K 0.4278 0.0000 0.5722  0.00
Ba 0.0000 0.0000 0.0000  0.05